# 1
# TaCo2Ir

A PBEsol-optimized structure of TaCo2Ir (meta-GGA SCAN, Alexandria via LeMat-Bulk).

## Properties
ΔE_f (meV/atom): -369
Theoretical density (Mg/m³): 16.084
Relative energy among the computed polymorphs (meV per atom): 0
SG: P4/mmm, No. 123
DFT total energy (eV per atom): -43.441

Cell: 3.655 3.724 3.724 Å, 90.00 90.00 90.00°
Site moments in Bohr magnetons follow the coordinates.
Atoms (fractional coordinates):
Co 0.000 0.000 0.500  0.92
Ir 0.500 0.500 0.500  0.04
Ta 0.500 0.000 0.000  -0.26
Co 0.000 0.500 0.000  0.92

---

# 2
# CoTc2Ir

A PBEsol-optimized structure of CoTc2Ir (meta-GGA SCAN, Alexandria via LeMat-Bulk).

## Properties
ΔE_f (meV/atom): 8
Theoretical density (Mg/m³): 14.326
Relative energy among the computed polymorphs (meV per atom): 172
SG: P4/mmm, No. 123
DFT total energy (eV per atom): -39.623

Cell: 2.640 2.640 7.434 Å, 90.00 90.00 90.00°
Atoms (fractional coordinates):
Tc 0.000 0.000 0.236
Co 0.500 0.500 0.000
Ir 0.500 0.500 0.500
Tc 0.000 0.000 0.764

---

Number 1: magnetization 0.374 μB/atom. Number 2: magnetization 0.000 μB/atom.